Computed, not measured: a relaxed NaNpSnSe3 crystal at the PBE level of DFT.

```
12
Lattice="8.108 0.000 0.000 0.000 4.123 0.000 -2.698 0.000 9.773" Properties=species:S:1:pos:R:3 pbc="T T T"
Na -0.477 1.031 3.443
Na 5.886 3.092 6.330
Np 1.932 3.092 6.656
Np 3.478 1.031 3.116
Sn 0.018 3.092 9.501
Sn 5.391 1.031 0.271
Se 1.403 1.031 0.897
Se -0.051 1.031 6.747
Se 1.614 3.092 3.817
Se 3.795 1.031 5.955
Se 5.460 3.092 3.025
Se 4.007 3.092 8.875
```

Values from the calculation:
Raw total energy   -5.617 eV per atom
D(E_F)   20.42 states/eV per cell
Space-group type   P2_1/m, No. 11